# 1
A relaxed structure of Pm2DyHo2Tm, computed with PBE.

Results
- volume (Å³/atom) = 32.80
- energy (eV per atom) = -4.472
- energy of formation from the pure elements (eV/atom) = 0.149
- Fermi-level density of states (states/eV per cell) = 19.653

Geometry as extended XYZ:
```
12
Lattice="3.467 0.000 0.000 0.000 16.326 0.000 0.000 0.000 6.956" Properties=species:S:1:pos:R:3 pbc="T T T"
Pm 0.000 10.761 1.746
Pm 0.000 5.565 5.210
Pm 1.733 13.727 5.224
Pm 1.733 2.598 1.732
Ho 1.733 2.493 5.213
Ho 0.000 10.656 5.221
Ho 1.733 13.833 1.743
Ho 0.000 5.670 1.735
Dy 1.733 8.163 0.000
Dy 0.000 0.000 3.478
Tm 0.000 0.000 0.000
Tm 1.733 8.163 3.478
```

# 2
A relaxed structure of KNbP2Pt, computed with PBE.

Results
- volume (Å³/atom) = 24.68
- energy (eV per atom) = -4.837
- energy of formation from the pure elements (eV/atom) = 0.769
- Fermi-level density of states (states/eV per cell) = 3.835

Geometry as extended XYZ:
```
5
Lattice="4.890 0.000 0.000 0.000 5.161 0.000 0.000 0.000 4.890" Properties=species:S:1:pos:R:3 pbc="T T T"
P 0.000 0.000 2.445
P 2.445 0.000 0.000
K 2.445 2.580 2.445
Pt 0.000 0.000 0.000
Nb 0.000 2.580 0.000
```

# 3
A relaxed structure of BaTiBeV2, computed with PBE.

Results
- volume (Å³/atom) = 22.59
- energy (eV per atom) = -3.950
- energy of formation from the pure elements (eV/atom) = 2.406
- Fermi-level density of states (states/eV per cell) = 7.052

Geometry as extended XYZ:
```
5
Lattice="4.922 0.000 0.000 0.000 4.661 0.000 0.000 0.000 4.922" Properties=species:S:1:pos:R:3 pbc="T T T"
V 2.461 0.000 0.000
V 0.000 0.000 2.461
Ti 2.461 2.331 2.461
Be 0.000 2.331 0.000
Ba 0.000 0.000 0.000
```

# 4
A relaxed structure of SrGdAgHg, computed with PBE.

Results
- volume (Å³/atom) = 28.00
- energy (eV per atom) = -5.070
- energy of formation from the pure elements (eV/atom) = -0.341
- Fermi-level density of states (states/eV per cell) = 4.982

Geometry as extended XYZ:
```
4
Lattice="5.411 0.000 0.000 2.705 4.686 0.000 2.705 1.562 4.418" Properties=species:S:1:pos:R:3 pbc="T T T"
Hg 8.116 4.686 3.313
Ag 2.705 1.562 1.104
Gd 0.000 0.000 0.000
Sr 5.411 3.124 2.209
```

# 5
A relaxed structure of Y2TaVSi, computed with PBE.

Results
- volume (Å³/atom) = 26.19
- energy (eV per atom) = -7.047
- Fermi-level density of states (states/eV per cell) = 11.504
- raw formation energy (eV per formula unit) = 4.09

Geometry as extended XYZ:
```
5
Lattice="-4.778 2.160 -0.340 -1.344 -3.441 -2.975 -1.602 -2.900 4.078" Properties=species:S:1:pos:R:3 pbc="T T T"
Ta -0.672 -1.720 -1.488
Y -2.389 1.080 -0.170
Y -0.801 -1.450 2.039
V -3.862 -2.090 0.381
Si 0.000 0.000 0.000
```

# 6
A relaxed structure of TlAsBr2, computed with PBE.

Results
- volume (Å³/atom) = 39.59
- energy (eV per atom) = -2.841
- raw formation energy (eV per formula unit) = -1.00

Geometry as extended XYZ:
```
4
Lattice="5.478 0.035 -0.010 0.347 5.465 0.012 2.170 2.006 5.293" Properties=species:S:1:pos:R:3 pbc="T T T"
Br 2.253 5.282 3.030
Br 5.243 2.961 4.520
As 5.370 5.321 3.774
Tl 5.015 3.527 1.127
```